[1]
Entry from Alexandria: LaScIrRu after structural relaxation (GGA-PBE).

It has space group F-43m (No. 216), with a = 6.8073 Å, b = 6.8073 Å, c = 6.8073 Å, α = 90.00°, β = 90.00° and γ = 90.00°. The inequivalent atoms are La at (0.0000, 0.0000, 0.0000), Sc at (0.0000, 0.0000, 0.5000), Ir at (0.2500, 0.2500, 0.2500) and Ru at (0.2500, 0.2500, 0.7500).

As for the total energy: -7.810 eV per atom. For the density of states at the Fermi level, the calculation gives 10.51 states/eV per cell.

=====

[2]
Entry from Alexandria: Li8Tl3Cd after structural relaxation (GGA-PBE).

It has space group Cm (No. 8), with a = 9.4529 Å, b = 9.5785 Å, c = 5.5565 Å, α = 90.00°, β = 114.88° and γ = 90.00°. The inequivalent atoms are Li at (0.0000, 0.0000, 0.0000), Li at (0.0015, 0.5000, 0.0164), Li at (0.2415, 0.2486, 0.9825), Li at (0.3288, 0.0000, 0.3207), Li at (0.3315, 0.5000, 0.3271), Li at (0.4115, 0.2470, 0.6649), Tl at (0.0710, 0.2441, 0.3065), Tl at (0.1702, 0.5000, 0.6877) and Cd at (0.1733, 0.0000, 0.6846).

As for the total energy: -2.170 eV per atom. For the density of states at the Fermi level, the calculation gives 8.07 states/eV per cell.

=====

In order of appearance, ΔE_f = -0.461 -0.226 eV per atom.